[1]
# MgTi2Os

A geometry-optimized MgTi2Os structure (PBE-GGA, Alexandria via LeMat-Bulk).

a b c (Å): 7.327 7.327 5.452
angles (deg): 90.00 90.00 90.00
Space group I-42d (No. 122)
Asymmetric unit:
Mg 0.000 0.000 0.000 (multiplicity 4)
Ti 0.204 0.250 0.625 (multiplicity 8)
Os 0.000 0.000 0.500 (multiplicity 4)

## Properties
E_tot in eV per atom: -6.93
Calculated density in g/cm³: 7.0
Total magnetic moment in μB per formula unit: 0.00
Formation energy in eV/atom: 0.226

---

[2]
# Dy4ThTl

A geometry-optimized Dy4ThTl structure (PBE-GGA, Alexandria via LeMat-Bulk).

a b c (Å): 3.597 3.597 14.163
angles (deg): 90.00 90.00 90.00
Space group P4/mmm (No. 123)
Asymmetric unit:
Dy 0.000 0.000 0.149 (multiplicity 2)
Dy 0.500 0.500 0.330 (multiplicity 2)
Th 0.000 0.000 0.500 (multiplicity 1)
Tl 0.500 0.500 0.000 (multiplicity 1)

## Properties
E_tot in eV per atom: -4.79
Calculated density in g/cm³: 9.8
Energy relative to the lowest polymorph listed for this composition in meV per atom: 0
Total magnetic moment in μB per formula unit: 0.00
Formation energy in eV/atom: -0.095

---

[3]
# PrEr3Au4

A geometry-optimized PrEr3Au4 structure (PBE-GGA, Alexandria via LeMat-Bulk).

a b c (Å): 5.101 5.101 7.259
angles (deg): 90.00 90.00 90.00
Space group P4/mmm (No. 123)
Asymmetric unit:
Pr 0.000 0.000 0.000 (multiplicity 1)
Er 0.000 0.000 0.500 (multiplicity 1)
Er 0.500 0.500 0.000 (multiplicity 1)
Er 0.500 0.500 0.500 (multiplicity 1)
Au 0.000 0.500 0.265 (multiplicity 4)

## Properties
E_tot in eV per atom: -4.78
Calculated density in g/cm³: 12.6
Total magnetic moment in μB per formula unit: 0.00
Formation energy in eV/atom: -0.836

---

[4]
# Cu2BiPd2

A geometry-optimized Cu2BiPd2 structure (PBE-GGA, Alexandria via LeMat-Bulk).

a b c (Å): 3.612 3.612 13.381
angles (deg): 90.00 90.00 90.00
Space group I4/mmm (No. 139)
Asymmetric unit:
Cu 0.000 0.500 0.250 (multiplicity 4)
Bi 0.000 0.000 0.000 (multiplicity 2)
Pd 0.000 0.000 0.391 (multiplicity 4)

## Properties
E_tot in eV per atom: -4.51
Calculated density in g/cm³: 10.4
Energy relative to the lowest polymorph listed for this composition in meV per atom: 31
Total magnetic moment in μB per formula unit: 0.00
Formation energy in eV/atom: -0.016

---

[5]
# HoMg4Zr2

A geometry-optimized HoMg4Zr2 structure (PBE-GGA, Alexandria via LeMat-Bulk).

a b c (Å): 3.136 37.483 3.120
angles (deg): 90.00 113.17 90.00
Space group C2/m (No. 12)
Asymmetric unit:
Ho 0.000 0.000 0.000 (multiplicity 2)
Mg 0.000 0.145 0.000 (multiplicity 4)
Mg 0.000 0.425 0.500 (multiplicity 4)
Zr 0.000 0.284 0.500 (multiplicity 4)

## Properties
E_tot in eV per atom: -3.95
Calculated density in g/cm³: 4.4
Total magnetic moment in μB per formula unit: 0.00
Formation energy in eV/atom: 0.062

---

[6]
# SbSeSCl2

A geometry-optimized SbSeSCl2 structure (PBE-GGA, Alexandria via LeMat-Bulk).

a b c (Å): 5.320 5.320 5.126
angles (deg): 90.00 90.00 90.00
Space group P4/mmm (No. 123)
Asymmetric unit:
Sb 0.000 0.000 0.000 (multiplicity 1)
Se 0.500 0.500 0.500 (multiplicity 1)
S 0.000 0.000 0.500 (multiplicity 1)
Cl 0.000 0.500 0.000 (multiplicity 2)

## Properties
E_tot in eV per atom: -2.90
Calculated density in g/cm³: 3.5
Energy relative to the lowest polymorph listed for this composition in meV per atom: 0
Total magnetic moment in μB per formula unit: 2.66
Energy relative to the elements, uncorrected in meV per atom: 182

---

[7]
# Na3TlCl

A geometry-optimized Na3TlCl structure (PBE-GGA, Alexandria via LeMat-Bulk).

a b c (Å): 5.922 5.922 5.922
angles (deg): 90.00 90.00 90.00
Space group Pm-3m (No. 221)
Asymmetric unit:
Na 0.000 0.000 0.500 (multiplicity 3)
Tl 0.000 0.000 0.000 (multiplicity 1)
Cl 0.500 0.500 0.500 (multiplicity 1)

## Properties
E_tot in eV per atom: -1.77
Calculated density in g/cm³: 2.5
Energy relative to the lowest polymorph listed for this composition in meV per atom: 458
Total magnetic moment in μB per formula unit: 0.00
Energy relative to the elements, uncorrected in meV per atom: -137

---

[8]
# Cu2Ag

A geometry-optimized Cu2Ag structure (PBE-GGA, Alexandria via LeMat-Bulk).

a b c (Å): 4.3860 4.3860 5.1574
angles (deg): 90.00 90.00 120.00
Space group P6_3/mmc (No. 194)
Asymmetric unit:
Cu 0.0000 0.0000 0.0000 (multiplicity 2)
Cu 0.3333 0.6667 0.2500 (multiplicity 2)
Ag 0.3333 0.6667 0.7500 (multiplicity 2)

## Properties
E_tot in eV per atom: -3.49
Calculated density in g/cm³: 9.1
Energy relative to the lowest polymorph listed for this composition in meV per atom: 125
Total magnetic moment in μB per formula unit: 0.00
Formation energy in eV/atom: 0.186

---

Look up the E_tot of the seventh one. -1.77 eV per atom

---

Which of these has the highest calculated density? PrEr3Au4

---

Look up the calculated density of the third one. 12.6 g/cm³